GGA-PBE ZrMnP2, optimized geometry; volume = 149.7 Å³ per cell; total energy = -59.290 eV per cell; mass density = 4.616 g/cm3; ΔH_f (0 K) = -0.2769 eV per atom; excess energy over the best structure of this formula in the dataset = 462.9 meV per atom
1.0
4.8180 0.0000 0.0000
0.0000 4.8180 0.0000
2.4090 2.4090 6.4497
Zr P Mn
2 4 2
direct
0.7500 0.2500 0.5000
0.0000 0.0000 0.0000
0.8750 0.7857 0.7500
0.3750 0.4643 0.7500
0.5357 0.1250 0.2500
0.2143 0.6250 0.2500
0.5000 0.5000 0.0000
0.2500 0.7500 0.5000

***

GGA-PBE ZrMn3P2, optimized geometry; volume = 237.4 Å³ per cell; total energy = -154.158 eV per cell; mass density = 6.672 g/cm3; ΔH_f (0 K) = -0.7516 eV per atom
1.0
3.6147 0.0000 0.0000
-1.8074 7.1588 -2.2671
0.0000 0.1114 9.1404
Zr P Mn
3 6 9
direct
0.0000 0.0000 0.0000
0.1567 0.3135 0.6985
0.8433 0.6865 0.3015
0.5403 0.0807 0.7877
0.4597 0.9193 0.2123
0.2017 0.4033 0.1390
0.3568 0.7135 0.5315
0.6432 0.2865 0.4685
0.7983 0.5967 0.8610
0.0443 0.0887 0.3446
0.5000 0.0000 0.5000
0.6799 0.3598 0.9747
0.3201 0.6402 0.0253
0.2111 0.4222 0.3923
0.6209 0.2419 0.2076
0.7889 0.5778 0.6077
0.3791 0.7581 0.7924
0.9557 0.9113 0.6554

***

GGA-PBE Pa3Mn, optimized geometry; volume = 89.4 Å³ per cell; total energy = -36.808 eV per cell; mass density = 13.893 g/cm3; ΔH_f (0 K) = 0.2123 eV per atom; excess energy over the best structure of this formula in the dataset = 225.3 meV per atom
1.0
-1.8951 -3.2100 2.3530
1.2010 -2.9459 -3.0515
4.3075 2.3778 2.5839
Pa Mn
3 1
direct
0.5000 0.5000 0.0000
0.2500 0.7500 0.5000
0.7500 0.2500 0.5000
0.0000 0.0000 0.0000